[1]
Here is a relaxed MgIn3H crystal from Alexandria via LeMat-Bulk. Energies are from PBE.

Cell and atoms, written as POSCAR:
```
MgIn3H
1.0
4.7459 0.0000 0.0000
0.0000 4.7459 0.0000
0.0000 0.0000 4.7459
Mg In H
1 3 1
Cartesian
0.0000 0.0000 0.0000
0.0000 2.3729 2.3729
2.3729 0.0000 2.3729
2.3729 2.3729 0.0000
2.3729 2.3729 2.3729
```

Computed properties:
ρ: 5.74 Mg/m³
raw total energy: -0.090 Ha/atom
size of the total moment: 0.000 μB/atom

[2]
Here is a relaxed Mg3InH crystal from Alexandria via LeMat-Bulk. Energies are from PBE.

Cell and atoms, written as POSCAR:
```
Mg3InH
1.0
4.4800 0.0000 0.0000
0.0000 4.4800 0.0000
0.0000 0.0000 4.4800
Mg In H
3 1 1
Cartesian
0.0000 0.0000 2.2400
0.0000 2.2400 0.0000
2.2400 0.0000 0.0000
2.2400 2.2400 2.2400
0.0000 0.0000 0.0000
```

Computed properties:
ρ: 3.49 Mg/m³
energy relative to the lowest polymorph listed for this composition: 0.0287 eV/atom
raw total energy: -0.081 Ha/atom
size of the total moment: 0.000 μB/atom

[3]
Here is a relaxed MgInH3 crystal from Alexandria via LeMat-Bulk. Energies are from PBE.

Cell and atoms, written as POSCAR:
```
MgInH3
1.0
4.0884 0.0000 0.0000
0.0000 4.0884 0.0000
0.0000 0.0000 4.0884
Mg In H
1 1 3
Cartesian
0.0000 0.0000 0.0000
2.0442 2.0442 2.0442
0.0000 2.0442 2.0442
2.0442 0.0000 2.0442
2.0442 2.0442 0.0000
```

Computed properties:
ρ: 3.45 Mg/m³
energy relative to the lowest polymorph listed for this composition: 0.3264 eV/atom
raw total energy: -0.089 Ha/atom
size of the total moment: 0.000 μB/atom

[4]
Here is a relaxed Mg4In2H crystal from Alexandria via LeMat-Bulk. Energies are from PBE.

Cell and atoms, written as POSCAR:
```
Mg4In2H
1.0
4.4156 0.0000 0.0000
0.0000 4.4156 0.0000
0.0000 0.0000 14.9070
Mg In H
8 4 2
Cartesian
0.0000 0.0000 2.4102
0.0000 0.0000 12.4968
0.0000 2.2078 0.0000
0.0000 2.2078 7.4535
2.2078 0.0000 0.0000
2.2078 0.0000 7.4535
2.2078 2.2078 5.0433
2.2078 2.2078 9.8637
0.0000 0.0000 5.3427
0.0000 0.0000 9.5643
2.2078 2.2078 2.1108
2.2078 2.2078 12.7962
0.0000 0.0000 0.0000
2.2078 2.2078 7.4535
```

Computed properties:
ρ: 3.75 Mg/m³
energy relative to the lowest polymorph listed for this composition: 0.0358 eV/atom
raw total energy: -0.080 Ha/atom
size of the total moment: 0.000 μB/atom

[5]
Here is a relaxed MgInH crystal from Alexandria via LeMat-Bulk. Energies are from PBE.

Cell and atoms, written as POSCAR:
```
MgInH
1.0
3.2950 0.0000 0.0000
1.6459 3.0121 0.0000
1.0797 1.1260 10.0370
Mg In H
2 2 2
Cartesian
1.3544 1.0715 3.6833
4.6663 3.0665 6.3537
2.9980 2.0143 8.7745
3.0227 2.1238 1.2625
1.3701 1.0889 5.7626
4.6506 3.0492 4.2743
```

Computed properties:
ρ: 4.67 Mg/m³
energy relative to the lowest polymorph listed for this composition: 0.0205 eV/atom
raw total energy: -0.096 Ha/atom
size of the total moment: 0.000 μB/atom

[6]
Here is a relaxed MgIn2H crystal from Alexandria via LeMat-Bulk. Energies are from PBE.

Cell and atoms, written as POSCAR:
```
MgIn2H
1.0
6.9189 0.0000 0.0000
0.0000 6.9189 0.0000
0.0000 0.0000 6.9189
Mg In H
4 8 4
Cartesian
0.0000 0.0000 0.0000
0.0000 3.4595 3.4595
3.4595 0.0000 3.4595
3.4595 3.4595 0.0000
1.7297 1.7297 1.7297
1.7297 1.7297 5.1892
1.7297 5.1892 1.7297
1.7297 5.1892 5.1892
5.1892 1.7297 1.7297
5.1892 1.7297 5.1892
5.1892 5.1892 1.7297
5.1892 5.1892 5.1892
0.0000 0.0000 3.4595
0.0000 3.4595 0.0000
3.4595 0.0000 0.0000
3.4595 3.4595 3.4595
```

Computed properties:
ρ: 5.11 Mg/m³
energy relative to the lowest polymorph listed for this composition: 0.1046 eV/atom
raw total energy: -0.081 Ha/atom
size of the total moment: 0.000 μB/atom